Computed, not measured: a relaxed structure of V2PF at the PBE+U level of DFT.

Calculated values
relative energy among the computed polymorphs = 0 meV/atom

Structure (CIF):
```
data_V2PF
_chemical_formula_sum 'V8 P4 F4'
_space_group_name_H-M_alt 'I -4 2 d'
_space_group_IT_number 122
_space_group_name_Hall 'I -4 2bw'
_cell_length_a 4.9132
_cell_length_b 4.9132
_cell_length_c 12.4936
_cell_angle_alpha 90.00
_cell_angle_beta 90.00
_cell_angle_gamma 90.00
loop_
_atom_site_label
_atom_site_fract_x
_atom_site_fract_y
_atom_site_fract_z
V1 0.1992 0.2500 0.1250
P1 0.0000 0.0000 0.5000
F1 0.0000 0.0000 0.0000
```